MgCdPd4: optimized geometry, PBE.

Cell: 7.495 7.495 7.495 Å, 90.00 90.00 90.00°
Space group F-43m (No. 216)
Unique sites:
Mg (0.000, 0.000, 0.000) (multiplicity 4)
Cd (0.250, 0.250, 0.750) (multiplicity 4)
Pd (0.125, 0.125, 0.375) (multiplicity 16)

crystal system: cubic
size of the total moment: 0.00 μB per cell
relative energy among the computed polymorphs: 0.1395 eV/atom
calculated formation energy: -0.27 eV/atom